Record 1
Density functional theory data (PBE) for a relaxed Nd2Tm2Al crystal.

Its raw total energy is -4.468 eV per atom.

The structure belongs to space group Immm (No. 71); the cell edges are 3.701, 7.913 and 10.599 Å and the angles 90.00°, 90.00° and 90.00°. The asymmetric unit holds Nd at (0.000, 0.000, 0.249), Tm at (0.000, 0.298, 0.500) and Al at (0.000, 0.500, 0.000).

***

Record 2
Density functional theory data (PBE) for a relaxed Nd2Tm2Al3 crystal.

Its raw total energy is -4.342 eV per atom.

The structure belongs to space group C2/m (No. 12); the cell edges are 15.198, 3.477 and 8.357 Å and the angles 90.00°, 118.60° and 90.00°. The asymmetric unit holds Nd at (0.106, 0.000, 0.383), Tm at (0.134, 0.500, 0.811), Al at (0.000, 0.500, 0.000) and Al at (0.212, 0.500, 0.216).

***

Record 3
Density functional theory data (PBE) for a relaxed NdUAl crystal.

Its raw total energy is -5.995 eV per atom.

The structure belongs to space group F-43m (No. 216); the cell edges are 7.111, 7.111 and 7.111 Å and the angles 90.00°, 90.00° and 90.00°. The asymmetric unit holds Nd at (0.000, 0.000, 0.000), U at (0.000, 0.000, 0.500) and Al at (0.250, 0.250, 0.250).

***

| no. | magnetization (μB per atom) |
| --- | --- |
| 1 | 0.15 |
| 2 | 0.02 |
| 3 | 1.16 |